w) LiUGe2 | PBE | relaxed

The structure in POSCAR format:
```
LiUGe2
1.0
-1.760 -0.272 -2.147
0.058 -2.773 0.303
-7.075 0.479 5.741
Ge U Li
2 1 1
direct
0.000 0.000 0.733 Ge
0.000 0.000 0.267 Ge
0.500 0.500 0.000 U
0.500 0.500 0.500 Li
```

Computed properties:
* mass density: 9.1 g/cm3
* Fermi-level density of states: 0.5832 states/eV/atom

x) LiUGe2 | PBE | relaxed

The structure in POSCAR format:
```
LiUGe2
1.0
-0.904 -3.243 -3.379
2.836 -3.806 -0.473
-1.595 -4.328 1.214
Ge U Li
2 1 1
direct
0.250 0.250 0.250 Ge
0.750 0.750 0.750 Ge
0.000 0.000 0.000 U
0.500 0.500 0.500 Li
```

Computed properties:
* mass density: 8.4 g/cm3
* Fermi-level density of states: 1.7590 states/eV/atom

w) wins, 48 meV/atom ahead of the next structure.

w) Li2VZnGe | PBE | relaxed

The structure in POSCAR format:
```
Li2VZnGe
1.0
4.499 0.000 0.000
0.000 4.713 0.000
0.000 0.000 4.499
Ge Li Zn V
1 2 1 1
direct
0.000 0.000 0.000 Ge
0.000 0.000 0.500 Li
0.500 0.000 0.000 Li
0.000 0.500 0.000 Zn
0.500 0.500 0.500 V
```

Computed properties:
* mass density: 3.5 g/cm3
* Fermi-level density of states: 1.1574 states/eV/atom

x) Li2VZnGe | PBE | relaxed

The structure in POSCAR format:
```
Li2VZnGe
1.0
4.217 0.000 0.000
0.000 4.755 0.000
0.000 0.000 4.217
Ge Li Zn V
1 2 1 1
direct
0.500 0.500 0.500 Ge
0.000 0.000 0.500 Li
0.500 0.000 0.000 Li
0.000 0.000 0.000 Zn
0.000 0.500 0.000 V
```

Computed properties:
* mass density: 4.0 g/cm3
* Fermi-level density of states: 0.6084 states/eV/atom

x) wins, 277 meV/atom ahead of the next structure.

w) LiYGe | PBE | relaxed

The structure in POSCAR format:
```
LiYGe
1.0
-9.740 -7.779 7.185
-6.479 -3.827 1.037
6.260 1.259 -4.114
Y Ge Li
2 2 2
direct
0.778 0.323 0.677 Y
0.117 0.306 0.694 Y
0.876 0.881 0.119 Ge
0.616 0.285 0.715 Ge
0.483 0.794 0.206 Li
0.313 0.355 0.645 Li
```

Computed properties:
* mass density: 4.3 g/cm3
* Fermi-level density of states: 0.5253 states/eV/atom

x) LiYGe | PBE | relaxed

The structure in POSCAR format:
```
LiYGe
1.0
4.688 -2.707 0.000
0.000 5.413 0.000
0.000 0.000 10.839
Y Ge Li
2 2 2
direct
0.000 0.000 0.250 Y
0.000 0.000 0.750 Y
0.000 0.000 0.000 Ge
0.000 0.000 0.500 Ge
0.333 0.667 0.250 Li
0.667 0.333 0.750 Li
```

Computed properties:
* mass density: 2.0 g/cm3
* Fermi-level density of states: 1.4993 states/eV/atom

w) wins, 1515 meV/atom ahead of the next structure.

w) LiZn2Ge2 | PBE | relaxed

The structure in POSCAR format:
```
LiZn2Ge2
1.0
-0.824 -1.609 3.735
-1.916 -3.207 -1.805
3.316 -5.130 0.826
Ge Zn Li
2 2 1
direct
0.388 0.388 0.224 Ge
0.612 0.612 0.776 Ge
0.750 0.250 0.500 Zn
0.250 0.750 0.500 Zn
0.000 0.000 0.000 Li
```

Computed properties:
* mass density: 5.0 g/cm3
* Fermi-level density of states: 0.1854 states/eV/atom

x) LiZn2Ge2 | PBE | relaxed

The structure in POSCAR format:
```
LiZn2Ge2
1.0
-3.473 1.966 6.329
5.707 -2.745 3.985
1.450 2.873 -0.097
Ge Zn Li
4 4 2
direct
0.336 0.836 0.000 Ge
0.836 0.664 0.000 Ge
0.664 0.164 0.000 Ge
0.164 0.336 0.000 Ge
0.136 0.636 0.500 Zn
0.636 0.864 0.500 Zn
0.864 0.364 0.500 Zn
0.364 0.136 0.500 Zn
0.000 0.000 0.000 Li
0.500 0.500 0.000 Li
```

Computed properties:
* mass density: 5.2 g/cm3
* Fermi-level density of states: 0.2151 states/eV/atom

w) wins, 138 meV/atom ahead of the next structure.

w) Li4ZnGe | PBE | relaxed

The structure in POSCAR format:
```
Li4ZnGe
1.0
4.695 0.001 -0.387
0.001 6.653 0.000
-1.799 -3.327 6.668
Li Zn Ge
8 2 2
direct
0.188 0.688 0.376 Li
0.355 0.085 0.711 Li
0.000 0.170 0.000 Li
0.645 0.373 0.289 Li
0.812 0.312 0.624 Li
0.645 0.915 0.289 Li
0.000 0.830 0.000 Li
0.355 0.627 0.711 Li
0.254 0.500 0.000 Zn
0.746 0.500 0.000 Zn
0.811 0.812 0.623 Ge
0.189 0.188 0.377 Ge
```

Computed properties:
* mass density: 2.7 g/cm3
* Fermi-level density of states: 0.2953 states/eV/atom

x) Li4ZnGe | PBE | relaxed

The structure in POSCAR format:
```
Li4ZnGe
1.0
4.412 -0.020 -0.023
-2.190 3.825 -0.195
0.028 0.284 5.248
Li Zn Ge
4 1 1
direct
0.670 0.832 0.260 Li
0.338 0.167 0.736 Li
0.671 0.833 0.737 Li
0.337 0.166 0.259 Li
0.005 0.499 0.998 Zn
0.004 0.500 0.498 Ge
```

Computed properties:
* mass density: 3.1 g/cm3
* Fermi-level density of states: 0.2617 states/eV/atom

x) wins, 93 meV/atom ahead of the next structure.

w) Li3ZrGe | PBE | relaxed

The structure in POSCAR format:
```
Li3ZrGe
1.0
-2.516 3.287 1.775
1.572 -1.010 4.098
3.389 2.909 -0.583
Ge Zr Li
1 1 3
direct
0.000 0.000 0.000 Ge
0.500 0.500 0.500 Zr
0.000 0.500 0.000 Li
0.000 0.000 0.500 Li
0.500 0.000 0.000 Li
```

Computed properties:
* mass density: 3.4 g/cm3
* Fermi-level density of states: 0.7341 states/eV/atom

x) Li3ZrGe | PBE | relaxed

The structure in POSCAR format:
```
Li3ZrGe
1.0
5.081 0.000 0.000
0.000 5.081 0.000
0.000 0.000 5.081
Ge Zr Li
1 1 3
direct
0.500 0.500 0.500 Ge
0.000 0.000 0.000 Zr
0.000 0.500 0.000 Li
0.000 0.000 0.500 Li
0.500 0.000 0.000 Li
```

Computed properties:
* mass density: 2.3 g/cm3
* Fermi-level density of states: 0.8889 states/eV/atom

w) wins, 905 meV/atom ahead of the next structure.

w) Li2ZrGe2 | PBE | relaxed

The structure in POSCAR format:
```
Li2ZrGe2
1.0
7.626 0.000 0.000
0.000 7.626 0.000
0.000 0.000 2.984
Ge Zr Li
4 2 4
direct
0.328 0.828 0.000 Ge
0.828 0.672 0.000 Ge
0.672 0.172 0.000 Ge
0.172 0.328 0.000 Ge
0.000 0.000 0.000 Zr
0.500 0.500 0.000 Zr
0.127 0.627 0.500 Li
0.627 0.873 0.500 Li
0.873 0.373 0.500 Li
0.373 0.127 0.500 Li
```

Computed properties:
* mass density: 4.8 g/cm3
* Fermi-level density of states: 0.4127 states/eV/atom

x) Li2ZrGe2 | PBE | relaxed

The structure in POSCAR format:
```
Li2ZrGe2
1.0
3.794 0.000 0.000
0.000 3.794 0.000
1.897 1.897 5.805
Ge Zr Li
2 1 2
direct
0.395 0.395 0.210 Ge
0.605 0.605 0.790 Ge
0.000 0.000 0.000 Zr
0.750 0.250 0.500 Li
0.250 0.750 0.500 Li
```

Computed properties:
* mass density: 5.0 g/cm3
* Fermi-level density of states: 0.2547 states/eV/atom

x) wins, 142 meV/atom ahead of the next structure.

w) Lu3Ge | PBE | relaxed

The structure in POSCAR format:
```
Lu3Ge
1.0
-1.220 -1.433 3.314
4.612 0.176 1.774
-2.583 5.580 -0.728
Ge Lu
1 3
direct
0.000 0.917 0.000 Ge
0.290 0.706 0.579 Lu
0.500 0.417 0.000 Lu
0.710 0.127 0.421 Lu
```

Computed properties:
* mass density: 9.8 g/cm3
* Fermi-level density of states: 0.9672 states/eV/atom

x) Lu3Ge | PBE | relaxed

The structure in POSCAR format:
```
Lu3Ge
1.0
4.577 0.000 0.000
0.000 4.577 0.000
0.000 0.000 4.576
Ge Lu
1 3
direct
0.500 0.000 0.583 Ge
0.000 0.000 0.083 Lu
0.000 0.500 0.583 Lu
0.500 0.500 0.083 Lu
```

Computed properties:
* mass density: 10.4 g/cm3
* Fermi-level density of states: 1.1730 states/eV/atom

w) wins, 81 meV/atom ahead of the next structure.